DFT (PBE) results for NaPrRe2O8 after structural relaxation.

a = 7.002 Å, b = 7.002 Å, c = 7.002 Å
α = 134.63°, β = 134.63°, γ = 66.11°
Positions (direct):
Na 0.000 0.000 0.000
Pr 0.250 0.750 0.500
Re 0.500 0.500 0.000
Re 0.750 0.250 0.500
O 0.277 0.668 0.104
O 0.332 0.436 0.609
O 0.429 0.017 0.095
O 0.564 0.173 0.896
O 0.666 0.571 0.588
O 0.827 0.723 0.391
O 0.922 0.334 0.905
O 0.983 0.078 0.412

Results
The space group is I-4, No. 82. As for the raw formation energy: -1.98 eV/atom. The density of states at the Fermi level comes out at 4.0 states/eV/f.u.

***

DFT (PBE) results for CsSi3Ni after structural relaxation.

a = 4.750 Å, b = 4.750 Å, c = 4.750 Å
α = 90.00°, β = 90.00°, γ = 90.00°
Positions (direct):
Cs 0.000 0.000 0.000
Si 0.000 0.500 0.500
Si 0.500 0.000 0.500
Si 0.500 0.500 0.000
Ni 0.500 0.500 0.500

Results
The space group is Pm-3m, No. 221. As for the raw formation energy: 0.63 eV/atom. The density of states at the Fermi level comes out at 7.5 states/eV/f.u. The value obtained for the relative energy among the computed polymorphs is 0 meV/atom.

***

DFT (PBE) results for Li2CeTl4 after structural relaxation.

a = 4.874 Å, b = 4.874 Å, c = 7.574 Å
α = 90.00°, β = 90.00°, γ = 90.00°
Positions (direct):
Li 0.000 0.000 0.000
Li 0.500 0.500 0.500
Ce 0.000 0.000 0.500
Tl 0.000 0.500 0.212
Tl 0.000 0.500 0.788
Tl 0.500 0.000 0.212
Tl 0.500 0.000 0.788

Results
The space group is P4/mmm, No. 123. The density of states at the Fermi level comes out at 8.9 states/eV/f.u. The value obtained for the relative energy among the computed polymorphs is 0 meV/atom. The energy of formation comes out at -0.163 eV per atom.

***

DFT (PBE) results for NaTcPbS2 after structural relaxation.

a = 4.614 Å, b = 4.614 Å, c = 5.381 Å
α = 90.00°, β = 90.00°, γ = 90.00°
Positions (direct):
Na 0.000 0.000 0.000
Tc 0.000 0.000 0.500
Pb 0.500 0.500 0.000
S 0.000 0.500 0.500
S 0.500 0.000 0.500

Results
The space group is P4/mmm, No. 123. As for the raw formation energy: 0.16 eV/atom. The density of states at the Fermi level comes out at 4.3 states/eV/f.u.

***

DFT (PBE) results for ZnFe2Os after structural relaxation.

a = 4.504 Å, b = 4.504 Å, c = 4.504 Å
α = 130.71°, β = 130.71°, γ = 72.27°
Positions (direct):
Zn 0.000 0.000 0.000
Fe 0.250 0.750 0.500
Fe 0.750 0.250 0.500
Os 0.500 0.500 0.000

Results
The space group is I4/mmm, No. 139. The density of states at the Fermi level comes out at 4.0 states/eV/f.u. The energy of formation comes out at 0.204 eV per atom.

***

DFT (PBE) results for TlRh2Au2 after structural relaxation.

a = 7.097 Å, b = 7.097 Å, c = 7.097 Å
α = 148.57°, β = 148.57°, γ = 45.04°
Positions (direct):
Tl 0.000 0.000 0.000
Rh 0.404 0.404 0.000
Rh 0.596 0.596 0.000
Au 0.250 0.750 0.500
Au 0.750 0.250 0.500

Results
The space group is I4/mmm, No. 139. The density of states at the Fermi level comes out at 3.6 states/eV/f.u. The value obtained for the relative energy among the computed polymorphs is 151 meV/atom. The energy of formation comes out at 0.352 eV per atom.

***

DFT (PBE) results for AgGeTe3 after structural relaxation.

a = 5.412 Å, b = 5.412 Å, c = 5.412 Å
α = 90.00°, β = 90.00°, γ = 90.00°
Positions (direct):
Ag 0.000 0.000 0.000
Ge 0.500 0.500 0.500
Te 0.000 0.000 0.500
Te 0.000 0.500 0.000
Te 0.500 0.000 0.000

Results
The space group is Pm-3m, No. 221. As for the raw formation energy: 0.62 eV/atom. The density of states at the Fermi level comes out at 3.4 states/eV/f.u. The value obtained for the relative energy among the computed polymorphs is 587 meV/atom.

***

DFT (PBE) results for Tm2MnCo after structural relaxation.

a = 4.807 Å, b = 4.807 Å, c = 4.807 Å
α = 60.00°, β = 60.00°, γ = 60.00°
Positions (direct):
Tm 0.250 0.250 0.250
Tm 0.750 0.750 0.750
Mn 0.000 0.000 0.000
Co 0.500 0.500 0.500

Results
The space group is Fm-3m, No. 225. The density of states at the Fermi level comes out at 3.9 states/eV/f.u. The value obtained for the relative energy among the computed polymorphs is 35 meV/atom. The energy of formation comes out at 0.012 eV per atom.

***

DFT (PBE) results for AcThO after structural relaxation.

a = 3.979 Å, b = 3.979 Å, c = 11.346 Å
α = 90.00°, β = 90.00°, γ = 90.00°
Positions (direct):
Ac 0.250 0.250 0.123
Ac 0.750 0.750 0.877
Th 0.250 0.250 0.616
Th 0.750 0.750 0.384
O 0.250 0.750 0.500
O 0.750 0.250 0.500

Results
The space group is P4/nmm, No. 129. As for the raw formation energy: -1.69 eV/atom. The density of states at the Fermi level comes out at 4.1 states/eV/f.u. The value obtained for the relative energy among the computed polymorphs is 0 meV/atom.

***

DFT (PBE) results for TeAs after structural relaxation.

a = 3.764 Å, b = 3.727 Å, c = 8.647 Å
α = 90.00°, β = 90.00°, γ = 90.00°
Positions (direct):
Te 0.250 0.000 0.233
Te 0.750 0.000 0.767
As 0.250 0.500 0.640
As 0.750 0.500 0.360

Results
The space group is Pmma, No. 51. As for the raw formation energy: 0.19 eV/atom. The density of states at the Fermi level comes out at 1.2 states/eV/f.u.

***

DFT (PBE) results for TlSeCl2 after structural relaxation.

a = 4.449 Å, b = 4.449 Å, c = 8.978 Å
α = 90.00°, β = 90.00°, γ = 122.66°
Positions (direct):
Tl 0.000 0.000 0.000
Se 0.500 0.500 0.661
Cl 0.000 0.000 0.548
Cl 0.500 0.500 0.198

Results
The space group is Cmm2, No. 35. As for the raw formation energy: -0.22 eV/atom. The density of states at the Fermi level comes out at 2.1 states/eV/f.u. The value obtained for the relative energy among the computed polymorphs is 172 meV/atom.

***

DFT (PBE) results for Li3Sc3MnS8 after structural relaxation.

a = 7.411 Å, b = 7.411 Å, c = 7.411 Å
α = 58.71°, β = 58.71°, γ = 58.71°
Positions (direct):
Li 0.000 0.500 0.500
Li 0.500 0.000 0.500
Li 0.500 0.500 0.000
Sc 0.000 0.000 0.500
Sc 0.000 0.500 0.000
Sc 0.500 0.000 0.000
Mn 0.500 0.500 0.500
S 0.247 0.247 0.247
S 0.266 0.731 0.731
S 0.269 0.269 0.734
S 0.269 0.734 0.269
S 0.731 0.266 0.731
S 0.731 0.731 0.266
S 0.734 0.269 0.269
S 0.753 0.753 0.753

Results
The space group is R-3m, No. 166. As for the raw formation energy: -1.50 eV/atom. The density of states at the Fermi level comes out at 0.0 states/eV/f.u.

***

DFT (PBE) results for LiSmI2 after structural relaxation.

a = 10.133 Å, b = 10.133 Å, c = 10.133 Å
α = 22.91°, β = 22.91°, γ = 22.91°
Positions (direct):
Li 0.000 0.000 0.000
Sm 0.500 0.500 0.500
I 0.093 0.093 0.093
I 0.907 0.907 0.907

Results
The space group is R-3m, No. 166. As for the raw formation energy: -0.84 eV/atom. The density of states at the Fermi level comes out at 2.4 states/eV/f.u.

***

DFT (PBE) results for Tb2DyScP4 after structural relaxation.

a = 6.853 Å, b = 3.963 Å, c = 6.855 Å
α = 90.00°, β = 109.48°, γ = 90.00°
Positions (direct):
Tb 0.000 0.000 0.000
Tb 0.000 0.500 0.500
Dy 0.500 0.000 0.500
Sc 0.500 0.500 0.000
P 0.256 0.500 0.246
P 0.261 0.000 0.760
P 0.739 0.000 0.240
P 0.744 0.500 0.754

Results
The space group is P2/m, No. 10. The density of states at the Fermi level comes out at 0.8 states/eV/f.u. The energy of formation comes out at -1.562 eV per atom.

***

DFT (PBE) results for Pr3Nd2Hg3 after structural relaxation.

a = 11.875 Å, b = 11.875 Å, c = 11.875 Å
α = 161.28°, β = 152.96°, γ = 33.09°
Positions (direct):
Pr 0.000 0.000 0.000
Pr 0.380 0.880 0.500
Pr 0.620 0.120 0.500
Nd 0.233 0.233 0.000
Nd 0.767 0.767 0.000
Hg 0.119 0.619 0.500
Hg 0.500 0.500 0.000
Hg 0.881 0.381 0.500

Results
The space group is Immm, No. 71. The density of states at the Fermi level comes out at 10.2 states/eV/f.u. The energy of formation comes out at -0.351 eV per atom.

***

DFT (PBE) results for ScTc2Rh after structural relaxation.

a = 2.735 Å, b = 2.735 Å, c = 8.421 Å
α = 90.00°, β = 90.00°, γ = 90.00°
Positions (direct):
Sc 0.000 0.000 0.000
Tc 0.500 0.500 0.270
Tc 0.500 0.500 0.730
Rh 0.000 0.000 0.500

Results
The space group is P4/mmm, No. 123. The density of states at the Fermi level comes out at 4.7 states/eV/f.u. The value obtained for the relative energy among the computed polymorphs is 220 meV/atom. The energy of formation comes out at 0.007 eV per atom.

***

DFT (PBE) results for Nd2InBr after structural relaxation.

a = 9.563 Å, b = 9.563 Å, c = 9.563 Å
α = 23.17°, β = 23.17°, γ = 23.17°
Positions (direct):
Nd 0.000 0.000 0.000
Nd 0.165 0.165 0.165
In 0.583 0.583 0.583
Br 0.750 0.750 0.750

Results
The space group is R3m, No. 160. As for the raw formation energy: -0.78 eV/atom. The density of states at the Fermi level comes out at 2.1 states/eV/f.u. The value obtained for the relative energy among the computed polymorphs is 1 meV/atom.

***

DFT (PBE) results for FeNiMo after structural relaxation.

a = 4.165 Å, b = 4.165 Å, c = 2.545 Å
α = 90.00°, β = 90.00°, γ = 120.00°
Positions (direct):
Fe 0.000 0.000 0.000
Ni 0.333 0.667 0.000
Mo 0.667 0.333 0.500

Results
The space group is P-6m2, No. 187. The density of states at the Fermi level comes out at 2.6 states/eV/f.u. The value obtained for the relative energy among the computed polymorphs is 35 meV/atom. The energy of formation comes out at 0.062 eV per atom.

***

DFT (PBE) results for ErPuPb after structural relaxation.

a = 5.328 Å, b = 5.328 Å, c = 3.522 Å
α = 90.00°, β = 90.00°, γ = 120.00°
Positions (direct):
Er 0.000 0.000 0.000
Pu 0.667 0.333 0.436
Pb 0.333 0.667 0.796

Results
The space group is P3m1, No. 156. The density of states at the Fermi level comes out at 6.8 states/eV/f.u. The value obtained for the relative energy among the computed polymorphs is 218 meV/atom. The energy of formation comes out at -0.071 eV per atom.

***

DFT (PBE) results for Er3TlCu after structural relaxation.

a = 9.038 Å, b = 3.727 Å, c = 9.049 Å
α = 90.00°, β = 114.25°, γ = 90.00°
Positions (direct):
Er 0.000 0.000 0.000
Er 0.017 0.500 0.363
Er 0.222 0.000 0.747
Er 0.381 0.000 0.380
Er 0.634 0.000 0.159
Er 0.668 0.500 0.712
Tl 0.314 0.500 0.067
Tl 0.835 0.000 0.546
Cu 0.336 0.500 0.590
Cu 0.789 0.500 0.043

Results
The space group is Pm, No. 6. The density of states at the Fermi level comes out at 5.1 states/eV/f.u. The value obtained for the relative energy among the computed polymorphs is 134 meV/atom. The energy of formation comes out at -0.072 eV per atom.